First-principles (PBE) data for crystalline TlInAs at its relaxed geometry, as listed in Alexandria.

a b c (Å): 6.721 6.719 3.589
angles (deg): 74.54 74.48 30.97
Sites, in units of the cell vectors:
Tl 0.000 0.000 0.000
In 0.295 0.295 0.705
As 0.668 0.668 0.332

ΔE_f: 0.075 eV per atom
Energy: -9.53 eV per cell
Size of the total moment: 0.00 μB/cell
SG: Fmm2
Calculated volume: 26.7 A^3/atom
Energy relative to the lowest polymorph listed for this composition: 0.17 eV/f.u.